# 1
Compound: BaLiCo2
Source: Alexandria
Functional: meta-GGA SCAN
Structure: PBEsol geometry

It has space group R-3m (No. 166, hexagonal axes), with a = 4.1176 Å, b = 4.1176 Å, c = 16.6055 Å, α = 90.00°, β = 90.00° and γ = 120.00°. Symmetry generates all atoms from Ba at (0.0000, 0.0000, 0.0000), Li at (0.0000, 0.0000, 0.5000) and Co at (0.0000, 0.0000, 0.1783).

The calculation puts the formation energy from the elements at 423 meV/atom. Its relative energy among the computed polymorphs is 0.00 eV/f.u. For the total energy, the calculation gives -224.571 eV per cell. The total magnetic moment is 7.5 μB/cell. For the density, the calculation gives 5.4 g cm⁻³.

=====

# 2
Compound: LaBi3
Source: Alexandria
Functional: meta-GGA SCAN
Structure: PBEsol geometry

It has space group Pm-3m (No. 221), with a = 4.940 Å, b = 4.940 Å, c = 4.940 Å, α = 90.00°, β = 90.00° and γ = 90.00°. Symmetry generates all atoms from La at (0.000, 0.000, 0.000) and Bi at (0.000, 0.500, 0.500).

The calculation puts the formation energy from the elements at -621 meV/atom. For the total energy, the calculation gives -281.326 eV per cell. The total magnetic moment is 0.0 μB/cell. For the density, the calculation gives 10.6 g cm⁻³.

=====

# 3
Compound: RbLi2Ga2B3O9
Source: Alexandria
Functional: meta-GGA SCAN
Structure: PBEsol geometry

It has space group P2/c (No. 13), with a = 6.266 Å, b = 4.960 Å, c = 12.749 Å, α = 90.00°, β = 91.27° and γ = 90.00°. Symmetry generates all atoms from Rb at (0.000, 0.207, 0.250), Li at (0.495, 0.172, 0.366), Ga at (0.235, 0.317, 0.564), B at (0.194, 0.185, 0.958), B at (0.500, 0.333, 0.750), O at (0.044, 0.304, 0.893), O at (0.239, 0.089, 0.449), O at (0.304, 0.331, 0.034), O at (0.402, 0.177, 0.671) and O at (0.500, 0.397, 0.250).

For the total energy, the calculation gives -355.763 eV per cell. The total magnetic moment is 0.1 μB/cell. For the density, the calculation gives 3.5 g cm⁻³.

=====

# 4
Compound: MnNiMo2
Source: Alexandria
Functional: meta-GGA SCAN
Structure: PBEsol geometry

It has space group Cmmm (No. 65), with a = 5.281 Å, b = 7.371 Å, c = 2.643 Å, α = 90.00°, β = 90.00° and γ = 90.00°. Symmetry generates all atoms from Mn at (0.000, 0.000, 0.000), Ni at (0.000, 0.500, 0.000) and Mo at (0.250, 0.250, 0.500).

The calculation puts the formation energy from the elements at 97 meV/atom. Its relative energy among the computed polymorphs is 0.16 eV/f.u. For the total energy, the calculation gives -207.619 eV per cell. The total magnetic moment is 2.4 μB/cell. For the density, the calculation gives 9.9 g cm⁻³.

=====

The lowest density belongs to which entry?
RbLi2Ga2B3O9

=====

total magnetic moment of number 4 (MnNiMo2)?
2.4 μB/cell